# Ta2Nb4Zn3N3

A geometry-optimized Ta2Nb4Zn3N3 structure (PBE, the Open Quantum Materials Database).

Structure (POSCAR):
```
Ta2Nb4Zn3N3
1.0
4.681 -2.703 0.000
4.681 2.703 0.000
-3.135 0.000 13.573
N Nb Ta Zn
6 8 4 6
Cartesian
2.341 -1.352 0.000
5.441 -1.318 0.000
3.922 1.318 0.000
3.873 1.318 6.786
0.773 1.352 6.786
2.354 -1.318 6.786
7.040 -0.462 1.214
0.783 -0.430 1.215
7.012 -0.430 5.572
0.755 -0.462 5.573
5.472 0.462 8.000
-0.785 0.430 8.001
5.445 0.430 12.358
-0.812 0.462 12.359
3.882 -0.461 1.170
3.913 -0.461 5.617
2.315 0.461 7.956
2.346 0.461 12.403
5.394 0.416 3.377
3.897 -2.177 3.393
2.401 0.416 3.409
3.826 -0.416 10.164
2.330 2.177 10.180
0.834 -0.416 10.196
```

Calculated values
Total magnetization, μB per formula unit: 0.01
Symmetry: C2/c
E, eV per cell: -198.26